Entry from Alexandria via LeMat-Bulk: a relaxed structure of BeCI2O (PBEsol).

Cell: 3.4044 4.9416 4.9416 Å, 90.00 90.00 90.00°
Fractional coordinates of all 5 atoms:
I (0.0000, 0.0000, 0.5000)
I (0.0000, 0.5000, 0.0000)
Be (0.5000, 0.5000, 0.5000)
C (0.0000, 0.0000, 0.0000)
O (0.5000, 0.0000, 0.0000)

Results
Magnetic moment (μB/cell): 0.0
Space-group type: No. 123
Density of states at the Fermi level (states/eV/cell): 2.3
Calculated total energy (eV per cell): -16.40

---

Entry from Alexandria via LeMat-Bulk: a relaxed structure of YOsRu2 (PBEsol).

Cell: 2.8463 2.8463 7.9031 Å, 90.00 90.00 90.00°
Fractional coordinates of all 4 atoms:
Os (0.5000, 0.5000, 0.7866)
Ru (0.0000, 0.0000, 0.9998)
Ru (0.5000, 0.5000, 0.2146)
Y (0.0000, 0.0000, 0.4990)

Results
E above lowest polymorph (meV/atom): 0.0
Magnetic moment (μB/cell): 0.0
Formation energy (kcal/mol of atoms): 5.43
Space-group type: No. 99
Density of states at the Fermi level (states/eV/cell): 4.7

---

Entry from Alexandria via LeMat-Bulk: a relaxed structure of SiNCl2 (PBEsol).

Cell: 3.1764 3.1764 9.2960 Å, 80.16 80.16 60.00°
Site moments in Bohr magnetons follow the coordinates.
Fractional coordinates of all 4 atoms:
Si (0.0000, 0.0000, 0.0000)  0.02
N (0.5000, 0.5000, 0.5000)  1.90
Cl (0.9246, 0.9246, 0.2261)  0.03
Cl (0.0754, 0.0754, 0.7739)  0.03

Results
Magnetic moment (μB/cell): 3.0
Space-group type: No. 166
Density of states at the Fermi level (states/eV/cell): 0.2
Calculated total energy (eV per cell): -13.64

---

Entry from Alexandria via LeMat-Bulk: a relaxed structure of CaRe2As (PBEsol).

Cell: 4.2094 4.2094 5.8114 Å, 68.77 68.77 60.00°
Fractional coordinates of all 4 atoms:
Re (0.0445, 0.0445, 0.8666)
Re (0.7423, 0.7423, 0.7732)
As (0.4622, 0.4622, 0.6133)
Ca (0.2472, 0.2472, 0.2585)

Results
Magnetic moment (μB/cell): 0.0
Formation energy (kcal/mol of atoms): 1.10
Space-group type: No. 160
Density of states at the Fermi level (states/eV/cell): 2.3

---

Entry from Alexandria via LeMat-Bulk: a relaxed structure of MnTe2Pt (PBEsol).

Cell: 3.9120 4.0168 6.6400 Å, 107.61 107.13 90.00°
Site moments in Bohr magnetons follow the coordinates.
Fractional coordinates of all 4 atoms:
Mn (0.5000, 0.0000, 0.0000)  3.72
Te (0.6513, 0.6513, 0.3027)  -0.01
Te (0.3487, 0.3487, 0.6973)  -0.01
Pt (0.0000, 0.5000, 0.0000)  0.17

Results
Magnetic moment (μB/cell): 4.2
Space-group type: No. 71
Density of states at the Fermi level (states/eV/cell): 2.5
Calculated total energy (eV per cell): -24.31

---

Entry from Alexandria via LeMat-Bulk: a relaxed structure of Li2Zn2Hg (PBEsol).

Cell: 3.0961 7.0924 7.0924 Å, 90.00 90.00 90.00°
Fractional coordinates of all 10 atoms:
Zn (0.0000, 0.3744, 0.8744)
Zn (0.0000, 0.8744, 0.6256)
Zn (0.0000, 0.6256, 0.1256)
Zn (0.0000, 0.1256, 0.3744)
Hg (0.0000, 0.0000, 0.0000)
Hg (0.0000, 0.5000, 0.5000)
Li (0.5000, 0.1697, 0.6697)
Li (0.5000, 0.6697, 0.8303)
Li (0.5000, 0.8303, 0.3303)
Li (0.5000, 0.3303, 0.1697)

Results
Magnetic moment (μB/cell): 0.0
Formation energy (kcal/mol of atoms): -4.27
Space-group type: No. 127
Density of states at the Fermi level (states/eV/cell): 2.6

---

Entry from Alexandria via LeMat-Bulk: a relaxed structure of LaMg2Zn2 (PBEsol).

Cell: 4.3088 4.3088 6.7416 Å, 108.64 108.64 90.00°
Fractional coordinates of all 5 atoms:
Zn (0.3968, 0.3968, 0.7936)
Zn (0.6032, 0.6032, 0.2064)
Mg (0.2500, 0.7500, 0.5000)
Mg (0.7500, 0.2500, 0.5000)
La (0.0000, 0.0000, 0.0000)

Results
Magnetic moment (μB/cell): 0.0
Formation energy (kcal/mol of atoms): -4.87
Space-group type: No. 139
Density of states at the Fermi level (states/eV/cell): 4.7

---

Entry from Alexandria via LeMat-Bulk: a relaxed structure of TaSnMo3 (PBEsol).

Cell: 4.7264 4.7264 4.7264 Å, 90.00 90.00 90.00°
Fractional coordinates of all 5 atoms:
Mo (0.0000, 0.5000, 0.0000)
Mo (0.0000, 0.0000, 0.5000)
Mo (0.5000, 0.0000, 0.0000)
Sn (0.5000, 0.5000, 0.5000)
Ta (0.0000, 0.0000, 0.0000)

Results
Magnetic moment (μB/cell): 0.0
Formation energy (kcal/mol of atoms): 40.29
Space-group type: No. 221
Density of states at the Fermi level (states/eV/cell): 7.1

---

Entry from Alexandria via LeMat-Bulk: a relaxed structure of Tc2AsOs (PBEsol).

Cell: 2.8016 2.8016 8.4989 Å, 80.51 80.51 60.00°
Fractional coordinates of all 4 atoms:
As (0.4995, 0.4995, 0.5016)
Os (0.2486, 0.2486, 0.2541)
Tc (0.0004, 0.0004, 0.9987)
Tc (0.7515, 0.7515, 0.7456)

Results
Magnetic moment (μB/cell): 0.0
Formation energy (kcal/mol of atoms): 3.33
Space-group type: No. 160
Density of states at the Fermi level (states/eV/cell): 2.9

---

Entry from Alexandria via LeMat-Bulk: a relaxed structure of InSe2BrO (PBEsol).

Cell: 4.1530 4.1530 6.0626 Å, 90.00 90.00 90.00°
Fractional coordinates of all 5 atoms:
O (0.0000, 0.0000, 0.0000)
Se (0.0000, 0.5000, 0.0000)
Se (0.5000, 0.0000, 0.0000)
Br (0.0000, 0.0000, 0.5000)
In (0.5000, 0.5000, 0.5000)

Results
Magnetic moment (μB/cell): 0.0
Space-group type: No. 123
Density of states at the Fermi level (states/eV/cell): 2.4
Calculated total energy (eV per cell): -17.76

---

Entry from Alexandria via LeMat-Bulk: a relaxed structure of MgCdP2S (PBEsol).

Cell: 4.7035 4.7741 4.7741 Å, 90.00 90.00 90.00°
Fractional coordinates of all 5 atoms:
P (0.0000, 0.0000, 0.5000)
P (0.0000, 0.5000, 0.0000)
S (0.5000, 0.0000, 0.0000)
Mg (0.0000, 0.0000, 0.0000)
Cd (0.5000, 0.5000, 0.5000)

Results
Magnetic moment (μB/cell): 0.0
Space-group type: No. 123
Density of states at the Fermi level (states/eV/cell): 4.9
Calculated total energy (eV per cell): -15.47

---

Entry from Alexandria via LeMat-Bulk: a relaxed structure of AlFe2As (PBEsol).

Cell: 2.7792 2.7792 7.6649 Å, 79.55 79.55 60.00°
Site moments in Bohr magnetons follow the coordinates.
Fractional coordinates of all 4 atoms:
As (0.0000, 0.0000, 0.0000)  -0.05
Fe (0.2541, 0.2541, 0.2377)  1.31
Fe (0.7459, 0.7459, 0.7623)  1.31
Al (0.5000, 0.5000, 0.5000)  -0.02

Results
E above lowest polymorph (meV/atom): 16.6
Magnetic moment (μB/cell): 2.5
Formation energy (kcal/mol of atoms): -0.29
Space-group type: No. 166
Density of states at the Fermi level (states/eV/cell): 4.6

---

Entry from Alexandria via LeMat-Bulk: a relaxed structure of KSc2Os (PBEsol).

Cell: 4.0807 4.0807 5.6953 Å, 110.99 110.99 90.00°
Fractional coordinates of all 4 atoms:
K (0.5000, 0.5000, 0.0000)
Os (0.2500, 0.7500, 0.5000)
Sc (0.0000, 0.0000, 0.0000)
Sc (0.7500, 0.2500, 0.5000)

Results
E above lowest polymorph (meV/atom): 894.5
Magnetic moment (μB/cell): 0.0
Formation energy (kcal/mol of atoms): 18.99
Space-group type: No. 119
Density of states at the Fermi level (states/eV/cell): 4.2

---

Entry from Alexandria via LeMat-Bulk: a relaxed structure of NbBr3Cl (PBEsol).

Cell: 5.1710 5.1710 5.1710 Å, 90.00 90.00 90.00°
Site moments in Bohr magnetons follow the coordinates.
Fractional coordinates of all 5 atoms:
Nb (0.5000, 0.5000, 0.5000)  2.85
Br (0.0000, 0.5000, 0.0000)  -0.04
Br (0.0000, 0.0000, 0.5000)  -0.04
Br (0.5000, 0.0000, 0.0000)  -0.04
Cl (0.0000, 0.0000, 0.0000)  -0.01

Results
Magnetic moment (μB/cell): 3.5
Space-group type: No. 221
Density of states at the Fermi level (states/eV/cell): 6.5
Calculated total energy (eV per cell): -13.54

---

Entry from Alexandria via LeMat-Bulk: a relaxed structure of LaTl3 (PBEsol).

Cell: 4.7801 4.7801 4.7801 Å, 90.00 90.00 90.00°
Fractional coordinates of all 4 atoms:
Tl (0.0000, 0.5000, 0.5000)
Tl (0.5000, 0.5000, 0.0000)
Tl (0.5000, 0.0000, 0.5000)
La (0.0000, 0.0000, 0.0000)

Results
Magnetic moment (μB/cell): 0.0
Formation energy (kcal/mol of atoms): -9.30
Space-group type: No. 221
Density of states at the Fermi level (states/eV/cell): 2.5

---

Entry from Alexandria via LeMat-Bulk: a relaxed structure of ZnTcH3 (PBEsol).

Cell: 3.3919 3.3919 3.3919 Å, 90.00 90.00 90.00°
Fractional coordinates of all 5 atoms:
H (0.0000, 0.5000, 0.0000)
H (0.0000, 0.0000, 0.5000)
H (0.5000, 0.0000, 0.0000)
Zn (0.5000, 0.5000, 0.5000)
Tc (0.0000, 0.0000, 0.0000)

Results
Magnetic moment (μB/cell): 0.0
Space-group type: No. 221
Density of states at the Fermi level (states/eV/cell): 1.4
Calculated total energy (eV per cell): -21.59

---

Entry from Alexandria via LeMat-Bulk: a relaxed structure of AsPRh2 (PBEsol).

Cell: 4.3156 4.3156 4.3156 Å, 60.00 60.00 60.00°
Fractional coordinates of all 4 atoms:
As (0.5000, 0.5000, 0.5000)
P (0.2500, 0.2500, 0.2500)
Rh (0.0000, 0.0000, 0.0000)
Rh (0.7500, 0.7500, 0.7500)

Results
E above lowest polymorph (meV/atom): 647.1
Magnetic moment (μB/cell): 0.0
Formation energy (kcal/mol of atoms): 5.26
Space-group type: No. 216
Density of states at the Fermi level (states/eV/cell): 4.0

---

Entry from Alexandria via LeMat-Bulk: a relaxed structure of LiZn3 (PBEsol).

Cell: 2.6746 3.8737 5.3282 Å, 90.00 90.00 90.00°
Fractional coordinates of all 4 atoms:
Zn (0.5000, 0.5000, 0.7529)
Zn (0.0000, 0.0000, 0.5000)
Zn (0.5000, 0.5000, 0.2471)
Li (0.0000, 0.0000, 0.0000)

Results
Magnetic moment (μB/cell): 0.0
Formation energy (kcal/mol of atoms): -2.57
Space-group type: No. 47
Density of states at the Fermi level (states/eV/cell): 1.1

---

Entry from Alexandria via LeMat-Bulk: a relaxed structure of TlFe2Ag (PBEsol).

Cell: 3.8958 3.8958 4.8674 Å, 113.59 113.59 90.00°
Site moments in Bohr magnetons follow the coordinates.
Fractional coordinates of all 4 atoms:
Ag (0.0000, 0.0000, 0.0000)  -0.03
Fe (0.7500, 0.2500, 0.5000)  2.58
Fe (0.2500, 0.7500, 0.5000)  2.58
Tl (0.5000, 0.5000, 0.0000)  -0.08

Results
E above lowest polymorph (meV/atom): 116.8
Magnetic moment (μB/cell): 5.0
Formation energy (kcal/mol of atoms): 11.30
Space-group type: No. 139
Density of states at the Fermi level (states/eV/cell): 2.3

---

Entry from Alexandria via LeMat-Bulk: a relaxed structure of YIr2Au (PBEsol).

Cell: 4.0333 4.0333 5.0425 Å, 113.57 113.57 90.00°
Fractional coordinates of all 4 atoms:
Au (0.2500, 0.7500, 0.5000)
Ir (0.0000, 0.0000, 0.0000)
Ir (0.7500, 0.2500, 0.5000)
Y (0.5000, 0.5000, 0.0000)

Results
Magnetic moment (μB/cell): 0.0
Formation energy (kcal/mol of atoms): -5.52
Space-group type: No. 119
Density of states at the Fermi level (states/eV/cell): 5.6